{
  "formula": "Ca2HPtAu",
  "functional": "PBE",
  "state": "optimized geometry",
  "lattice_angstrom": [[4.986, 0.000, 0.000], [0.000, 4.986, 0.000], [0.000, 0.000, 3.755]],
  "species": ["H", "Au", "Ca", "Ca", "Pt"],
  "frac_coords": [[0.000, 0.000, 0.000], [0.000, 0.000, 0.500], [0.500, 0.000, 0.000], [0.000, 0.500, 0.000], [0.500, 0.500, 0.500]],
  "dos_ef_per_ev_cell": 1.93,
  "volume_a3_per_cell": 93.4,
  "space_group": "P4/mmm",
  "total_energy_ev_per_atom": -3.99
}

=====

{
  "formula": "CaHPtAu2",
  "functional": "PBE",
  "state": "optimized geometry",
  "lattice_angstrom": [[-4.113, -1.188, 1.467], [0.872, -4.316, -1.048], [1.448, -0.580, 3.591]],
  "species": ["H", "Ca", "Au", "Au", "Pt"],
  "frac_coords": [[0.000, 0.000, 0.000], [0.500, 0.500, 0.500], [0.000, 0.500, 0.000], [0.500, 0.000, 0.000], [0.000, 0.000, 0.500]],
  "dos_ef_per_ev_cell": 2.12,
  "volume_a3_per_cell": 80.2,
  "space_group": "P4/mmm",
  "total_energy_ev_per_atom": -3.86
}

=====

{
  "formula": "Ca2HPtAu",
  "functional": "PBE",
  "state": "optimized geometry",
  "lattice_angstrom": [[-1.216, 4.978, -0.353], [-3.996, -1.189, -3.000], [-2.080, -0.303, 2.890]],
  "species": ["Pt", "Ca", "Ca", "H", "Au"],
  "frac_coords": [[0.000, 0.000, 0.500], [0.000, 0.500, 0.000], [0.500, 0.000, 0.000], [0.000, 0.000, 0.000], [0.500, 0.500, 0.500]],
  "dos_ef_per_ev_cell": 2.22,
  "volume_a3_per_cell": 94.3,
  "space_group": "P4/mmm",
  "total_energy_ev_per_atom": -4.08
}

=====

{
  "formula": "CaHPtAu2",
  "functional": "PBE",
  "state": "optimized geometry",
  "lattice_angstrom": [[5.242, 0.000, 0.000], [0.000, 5.242, 0.000], [0.000, 0.000, 3.527]],
  "species": ["Au", "Au", "Pt", "Ca", "H"],
  "frac_coords": [[0.500, 0.000, 0.000], [0.000, 0.500, 0.000], [0.500, 0.500, 0.500], [0.000, 0.000, 0.000], [0.000, 0.000, 0.500]],
  "dos_ef_per_ev_cell": 1.64,
  "volume_a3_per_cell": 96.9,
  "space_group": "P4/mmm",
  "total_energy_ev_per_atom": -3.04
}